Entry 1:
A relaxed structure of Cs3CdAg2Cl9. Source: the Alexandria database, functional PBE.

Cell lengths 7.4262, 7.4262, 9.1037 Å; angles 90.00, 90.00, 120.00 degrees
With the nearest neighbours (Å) after each atom.
Fractional positions:
Cl: 0.8328 0.6655 0.6692  1 Ag 2.64, 1 Cd 2.65
Cl: 0.1672 0.3345 0.3308  1 Ag 2.64, 1 Cd 2.65
Cl: 0.6655 0.8328 0.3308  1 Ag 2.64, 1 Cd 2.65
Ag: 0.6667 0.3333 0.8391  6 Cl 2.60-2.64
Cl: 0.3345 0.1672 0.6692  1 Ag 2.64, 1 Cd 2.65
Cs: 0.0000 0.0000 0.0000  12 Cl 3.70-3.71
Ag: 0.3333 0.6667 0.1609  6 Cl 2.60-2.64
Cl: 0.1672 0.8328 0.3308  1 Ag 2.64, 1 Cd 2.65
Cl: 0.5000 0.0000 0.0000  2 Ag 2.60
Cs: 0.6667 0.3333 0.3355  12 Cl 3.71-3.73
Cl: 0.8328 0.1672 0.6692  1 Ag 2.64, 1 Cd 2.65
Cl: 0.0000 0.5000 0.0000  2 Ag 2.60
Cl: 0.5000 0.5000 0.0000  2 Ag 2.60
Cd: 0.0000 0.0000 0.5000  6 Cl 2.65
Cs: 0.3333 0.6667 0.6645  12 Cl 3.71-3.73

Final energy ... -2.91 eV/atom
Energy relative to the elements, uncorrected ... -1.19 eV/atom

Entry 2:
A relaxed structure of Cs3CdAg3Cl8. Source: the Alexandria database, functional PBE.

Cell lengths 8.1966, 8.6579, 9.1124 Å; angles 117.97, 90.00, 118.25 degrees
With the nearest neighbours (Å) after each atom.
Fractional positions:
Cl: 0.2614 0.5228 0.3172  2 Ag 2.70
Ag: 0.5000 0.5000 0.5000  4 Cl 2.70-2.82
Cs: 0.0000 0.5000 0.0000  6 Cl 3.40-3.47
Cl: 0.7497 0.9850 0.6906  1 Cd 2.68, 1 Ag 2.77
Cl: 0.7872 0.5744 0.3268  1 Cd 2.75, 2 Ag 2.82
Ag: 0.5000 0.0000 0.5000  6 Cl 2.77-3.09
Cl: 0.2128 0.4256 0.6732  1 Cd 2.75, 2 Ag 2.82
Cl: 0.2352 0.9850 0.6906  1 Cd 2.68, 1 Ag 2.77
Cd: 0.0000 0.0000 0.5000  6 Cl 2.68-2.75
Cl: 0.2503 0.0150 0.3094  1 Cd 2.68, 1 Ag 2.77
Cl: 0.7648 0.0150 0.3094  1 Cd 2.68, 1 Ag 2.77
Cs: 0.0000 0.0000 0.0000  6 Cl 3.40-3.46
Ag: 0.0000 0.5000 0.5000  4 Cl 2.70-2.82
Cs: 0.5000 0.5000 0.0000  6 Cl 3.40-3.47
Cl: 0.7386 0.4772 0.6828  2 Ag 2.70

Final energy ... -2.93 eV/atom
Energy relative to the elements, uncorrected ... -1.14 eV/atom

Entry 3:
A relaxed structure of CdCuAg2Cl6. Source: the Alexandria database, functional PBE.

Cell lengths 7.1683, 6.5578, 7.6400 Å; angles 60.61, 55.28, 58.69 degrees
With the nearest neighbours (Å) after each atom.
Fractional positions:
Cl: 0.9618 0.5582 0.2478  1 Cu 2.31
Cu: 0.3209 0.3193 0.0314  4 Cl 2.30-2.37
Cl: 0.6293 0.1775 0.2862  1 Cd 2.53, 2 Ag 2.66-2.71
Cl: 0.6794 0.1057 0.7889  1 Cu 2.32
Cl: 0.0807 0.4542 0.7312  1 Cd 2.51, 1 Ag 2.61
Ag: 0.5219 0.5437 0.4233  4 Cl 2.61-2.83
Cl: 0.4130 0.6897 0.7878  1 Cu 2.37, 1 Ag 2.63
Cl: 0.2369 0.9569 0.2655  1 Cu 2.30
Cd: 0.8242 0.8174 0.5384  5 Cl 2.51-2.80
Ag: 0.9936 0.0391 0.9146  4 Cl 2.61-2.71

Final energy ... -2.79 eV/atom
Energy relative to the elements, uncorrected ... -0.61 eV/atom

Entry 4:
A relaxed structure of CdCuAgCl4. Source: the Alexandria database, functional PBE.

Cell lengths 7.3962, 7.8704, 7.8478 Å; angles 119.91, 90.00, 118.03 degrees
With the nearest neighbours (Å) after each atom.
Fractional positions:
Cl: 0.7443 0.0022 0.2511  2 Cd 2.66, 1 Ag 2.66, 1 Cu 2.85
Ag: 0.1615 0.3230 0.9115  4 Cl 2.57-2.66
Cl: 0.7336 0.4672 0.2730  2 Cu 2.49, 1 Ag 2.57, 1 Cd 2.70
Cd: 0.5000 0.0000 0.0000  6 Cl 2.66-2.70
Cl: 0.2664 0.5328 0.7270  2 Cu 2.49, 1 Ag 2.57, 1 Cd 2.70
Cl: 0.2664 0.5328 0.3058  2 Cu 2.49, 1 Ag 2.57, 1 Cd 2.70
Cu: 0.5000 0.5000 0.5000  4 Cl 2.49
Cd: 0.5000 0.0000 0.5000  6 Cl 2.66-2.70
Cl: 0.7421 0.9978 0.7489  2 Cd 2.66, 1 Ag 2.66, 1 Cu 2.85
Ag: 0.8385 0.6770 0.0885  4 Cl 2.57-2.66
Cl: 0.2557 0.9978 0.7489  2 Cd 2.66, 1 Ag 2.66, 1 Cu 2.85
Cl: 0.7336 0.4672 0.6942  2 Cu 2.49, 1 Ag 2.57, 1 Cd 2.70
Cu: 0.0000 0.5000 0.5000  4 Cl 2.49
Cl: 0.2579 0.0022 0.2511  2 Cd 2.66, 1 Ag 2.66, 1 Cu 2.85

Final energy ... -2.84 eV/atom
Energy relative to the elements, uncorrected ... -0.66 eV/atom

Entry 5:
A relaxed structure of ErCdAgCl6. Source: the Alexandria database, functional PBE.

Cell lengths 6.7345, 6.7345, 12.2685 Å; angles 90.00, 90.00, 120.00 degrees
With the nearest neighbours (Å) after each atom.
Fractional positions:
Cd: 0.6667 0.3333 0.7500  6 Cl 2.67
Ag: 0.0000 0.0000 0.5000  6 Cl 2.83
Er: 0.6667 0.3333 0.2500  6 Cl 2.63
Cl: 0.3464 0.3505 0.8712  1 Er 2.63, 1 Cd 2.67, 1 Ag 2.83
Cl: 0.6495 0.6536 0.6288  1 Er 2.63, 1 Cd 2.67, 1 Ag 2.83
Cd: 0.3333 0.6667 0.2500  6 Cl 2.67
Er: 0.3333 0.6667 0.7500  6 Cl 2.63
Cl: 0.6536 0.0042 0.3712  1 Er 2.63, 1 Cd 2.67, 1 Ag 2.83
Cl: 0.6536 0.6495 0.1288  1 Er 2.63, 1 Cd 2.67, 1 Ag 2.83
Cl: 0.3464 0.9958 0.6288  1 Er 2.63, 1 Cd 2.67, 1 Ag 2.83
Ag: 0.0000 0.0000 0.0000  6 Cl 2.83
Cl: 0.9958 0.6495 0.3712  1 Er 2.63, 1 Cd 2.67, 1 Ag 2.83
Cl: 0.0042 0.3505 0.6288  1 Er 2.63, 1 Cd 2.67, 1 Ag 2.83
Cl: 0.0042 0.6536 0.8712  1 Er 2.63, 1 Cd 2.67, 1 Ag 2.83
Cl: 0.6495 0.9958 0.8712  1 Er 2.63, 1 Cd 2.67, 1 Ag 2.83
Cl: 0.9958 0.3464 0.1288  1 Er 2.63, 1 Cd 2.67, 1 Ag 2.83
Cl: 0.3505 0.3464 0.3712  1 Er 2.63, 1 Cd 2.67, 1 Ag 2.83
Cl: 0.3505 0.0042 0.1288  1 Er 2.63, 1 Cd 2.67, 1 Ag 2.83

Final energy ... -3.61 eV/atom
Energy relative to the elements, uncorrected ... -1.46 eV/atom

Entry 6:
A relaxed structure of Cd2Ag2Cl2F5. Source: the Alexandria database, functional PBE.

Cell lengths 4.1580, 4.1580, 12.8494 Å; angles 99.31, 99.31, 90.00 degrees
With the nearest neighbours (Å) after each atom.
Fractional positions:
F: 0.1297 0.6297 0.2593  2 Ag 2.36, 2 Cd 2.41
F: 0.8703 0.3703 0.7407  2 Ag 2.36, 2 Cd 2.41
F: 0.6297 0.1297 0.2593  2 Ag 2.36, 2 Cd 2.41
F: 0.0000 0.0000 0.0000  2 Ag 2.12
F: 0.3703 0.8703 0.7407  2 Ag 2.36, 2 Cd 2.41
Ag: 0.9152 0.9152 0.8304  5 F 2.12-2.36
Ag: 0.0848 0.0848 0.1696  5 F 2.12-2.36
Cl: 0.2193 0.2193 0.4386  1 Cd 2.57
Cl: 0.7807 0.7807 0.5614  1 Cd 2.57
Cd: 0.6781 0.6781 0.3562  4 F 2.41, 1 Cl 2.57
Cd: 0.3219 0.3219 0.6438  4 F 2.41, 1 Cl 2.57

Final energy ... -3.13 eV/atom
Energy relative to the elements, uncorrected ... -1.25 eV/atom

Copy entry 2 word for word.
A relaxed structure of Cs3CdAg3Cl8. Source: the Alexandria database, functional PBE.

Cell lengths 8.1966, 8.6579, 9.1124 Å; angles 117.97, 90.00, 118.25 degrees
With the nearest neighbours (Å) after each atom.
Fractional positions:
Cl: 0.2614 0.5228 0.3172  2 Ag 2.70
Ag: 0.5000 0.5000 0.5000  4 Cl 2.70-2.82
Cs: 0.0000 0.5000 0.0000  6 Cl 3.40-3.47
Cl: 0.7497 0.9850 0.6906  1 Cd 2.68, 1 Ag 2.77
Cl: 0.7872 0.5744 0.3268  1 Cd 2.75, 2 Ag 2.82
Ag: 0.5000 0.0000 0.5000  6 Cl 2.77-3.09
Cl: 0.2128 0.4256 0.6732  1 Cd 2.75, 2 Ag 2.82
Cl: 0.2352 0.9850 0.6906  1 Cd 2.68, 1 Ag 2.77
Cd: 0.0000 0.0000 0.5000  6 Cl 2.68-2.75
Cl: 0.2503 0.0150 0.3094  1 Cd 2.68, 1 Ag 2.77
Cl: 0.7648 0.0150 0.3094  1 Cd 2.68, 1 Ag 2.77
Cs: 0.0000 0.0000 0.0000  6 Cl 3.40-3.46
Ag: 0.0000 0.5000 0.5000  4 Cl 2.70-2.82
Cs: 0.5000 0.5000 0.0000  6 Cl 3.40-3.47
Cl: 0.7386 0.4772 0.6828  2 Ag 2.70

Final energy ... -2.93 eV/atom
Energy relative to the elements, uncorrected ... -1.14 eV/atom

Question: Which formula does entry 5 have?
Answer: ErCdAgCl6

Repeat the third record exactly.
A relaxed structure of CdCuAg2Cl6. Source: the Alexandria database, functional PBE.

Cell lengths 7.1683, 6.5578, 7.6400 Å; angles 60.61, 55.28, 58.69 degrees
With the nearest neighbours (Å) after each atom.
Fractional positions:
Cl: 0.9618 0.5582 0.2478  1 Cu 2.31
Cu: 0.3209 0.3193 0.0314  4 Cl 2.30-2.37
Cl: 0.6293 0.1775 0.2862  1 Cd 2.53, 2 Ag 2.66-2.71
Cl: 0.6794 0.1057 0.7889  1 Cu 2.32
Cl: 0.0807 0.4542 0.7312  1 Cd 2.51, 1 Ag 2.61
Ag: 0.5219 0.5437 0.4233  4 Cl 2.61-2.83
Cl: 0.4130 0.6897 0.7878  1 Cu 2.37, 1 Ag 2.63
Cl: 0.2369 0.9569 0.2655  1 Cu 2.30
Cd: 0.8242 0.8174 0.5384  5 Cl 2.51-2.80
Ag: 0.9936 0.0391 0.9146  4 Cl 2.61-2.71

Final energy ... -2.79 eV/atom
Energy relative to the elements, uncorrected ... -0.61 eV/atom